The following is a DFT calculation (GGA-PBE) of Tm2CN2O2 after structural relaxation.

Energy relative to the elements, uncorrected in eV/atom: -2.230

a = 3.6640 Å, b = 3.6640 Å, c = 8.1345 Å
α = 90.00°, β = 90.00°, γ = 120.00°
Space group P-3m1 (No. 164)
Symmetry-distinct sites (fractional):
Tm: 0.3333 0.6667 0.1758 x2
C: 0.0000 0.0000 0.5000 x1
N: 0.0000 0.0000 0.3481 x2
O: 0.3333 0.6667 0.8974 x2

=====

The following is a DFT calculation (GGA-PBE) of Tm4CN2O after structural relaxation.

Energy relative to the elements, uncorrected in eV/atom: -1.826

a = 4.829 Å, b = 4.829 Å, c = 9.722 Å
α = 90.00°, β = 90.00°, γ = 90.00°
Space group I4/mmm (No. 139)
Symmetry-distinct sites (fractional):
Tm: 0.000 0.000 0.246 x4
Tm: 0.000 0.500 0.000 x4
C: 0.000 0.000 0.000 x2
N: 0.000 0.500 0.250 x4
O: 0.000 0.000 0.500 x2

=====

The following is a DFT calculation (GGA-PBE) of Tm6C2N3O after structural relaxation.

Energy relative to the elements, uncorrected in eV/atom: -1.513

a = 15.065 Å, b = 3.409 Å, c = 6.906 Å
α = 90.00°, β = 103.27°, γ = 90.00°
Space group C2/m (No. 12)
Symmetry-distinct sites (fractional):
Tm: 0.000 0.000 0.242 x4
Tm: 0.167 0.500 0.087 x4
Tm: 0.168 0.500 0.580 x4
C: 0.164 0.000 0.828 x4
N: 0.000 0.500 0.000 x2
N: 0.164 0.000 0.336 x4
O: 0.000 0.500 0.500 x2

=====

What is the energy relative to the elements, uncorrected in the third record? -1.513 eV/atom

=====

Number 1 is which compound? Tm2CN2O2